1.
DFT (PBE) results for an optimized crystal structure of SrSmZnIr.

Properties
- DFT formation energy: -0.263 eV per atom

abc: 7.2367 7.2367 7.2367
angles: 90.00 90.00 90.00
Space group F-43m (No. 216)
Inequivalent atoms, fractional coordinates:
Sr  0.0000  0.0000  0.0000 (multiplicity 4)
Sm  0.0000  0.0000  0.5000 (multiplicity 4)
Zn  0.2500  0.2500  0.2500 (multiplicity 4)
Ir  0.2500  0.2500  0.7500 (multiplicity 4)

=====

2.
DFT (PBE) results for an optimized crystal structure of Dy2ScCd.

Properties
- DFT formation energy: -0.081 eV per atom
- Energy relative to the lowest polymorph listed for this composition: 0.18 eV/f.u.

abc: 5.3237 5.3237 3.7894
angles: 90.00 90.00 90.00
Space group P4/mmm (No. 123)
Inequivalent atoms, fractional coordinates:
Dy  0.0000  0.5000  0.0000 (multiplicity 2)
Sc  0.0000  0.0000  0.5000 (multiplicity 1)
Cd  0.5000  0.5000  0.5000 (multiplicity 1)

=====

3.
DFT (PBE) results for an optimized crystal structure of Tl4Se2F.

Properties
- Energy relative to the lowest polymorph listed for this composition: 0.00 eV/f.u.
- Formation energy from raw total energies: -0.663 eV/atom

abc: 7.2547 6.7974 8.6392
angles: 90.00 107.01 90.00
Space group P2_1/m (No. 11)
Inequivalent atoms, fractional coordinates:
Tl  0.0397  0.0103  0.2602 (multiplicity 4)
Tl  0.4135  0.2500  0.6063 (multiplicity 2)
Tl  0.4383  0.2500  0.1103 (multiplicity 2)
Se  0.2290  0.7500  0.5614 (multiplicity 2)
Se  0.2700  0.7500  0.0686 (multiplicity 2)
F  0.2106  0.2500  0.8134 (multiplicity 2)

=====

4.
DFT (PBE) results for an optimized crystal structure of Cs12TlAu6.

Properties
- DFT formation energy: -0.221 eV per atom

abc: 13.0103 13.0103 13.0103
angles: 90.00 90.00 90.00
Space group Im-3 (No. 204)
Inequivalent atoms, fractional coordinates:
Cs  0.0000  0.1778  0.3129 (multiplicity 24)
Tl  0.0000  0.0000  0.0000 (multiplicity 2)
Au  0.0000  0.3875  0.5000 (multiplicity 12)

=====

5.
DFT (PBE) results for an optimized crystal structure of Pr3PaO7.

Properties
- Formation energy from raw total energies: -3.483 eV/atom

abc: 7.9087 11.2614 8.0230
angles: 90.00 90.00 90.00
Space group Cmcm (No. 63)
Inequivalent atoms, fractional coordinates:
Pr  0.0000  0.0000  0.0000 (multiplicity 4)
Pr  0.2326  0.2642  0.2500 (multiplicity 8)
Pa  0.0000  0.5000  0.0000 (multiplicity 4)
O  0.0000  0.1318  0.7500 (multiplicity 4)
O  0.0000  0.1335  0.2500 (multiplicity 4)
O  0.0000  0.4129  0.2500 (multiplicity 4)
O  0.2055  0.3765  0.5290 (multiplicity 16)

=====

6.
DFT (PBE) results for an optimized crystal structure of GdPaH3.

Properties
- Raw total energy: -6.83 eV per atom

abc: 4.1544 4.1544 4.1544
angles: 90.00 90.00 90.00
Space group Pm-3m (No. 221)
Inequivalent atoms, fractional coordinates:
Gd  0.0000  0.0000  0.0000 (multiplicity 1)
Pa  0.5000  0.5000  0.5000 (multiplicity 1)
H  0.0000  0.5000  0.5000 (multiplicity 3)

=====

7.
DFT (PBE) results for an optimized crystal structure of LaInBr2.

Properties
- Energy relative to the lowest polymorph listed for this composition: 0.59 eV/f.u.
- Formation energy from raw total energies: -0.974 eV/atom

abc: 4.0209 6.4009 10.5760
angles: 90.00 90.00 90.00
Space group Cmmm (No. 65)
Inequivalent atoms, fractional coordinates:
La  0.0000  0.0000  0.0000 (multiplicity 2)
In  0.0000  0.0000  0.5000 (multiplicity 2)
Br  0.0000  0.5000  0.2126 (multiplicity 4)

=====

8.
DFT (PBE) results for an optimized crystal structure of PmEr5Pb6.

Properties
- DFT formation energy: -0.415 eV per atom

abc: 6.1211 15.3498 7.6919
angles: 90.00 103.72 90.00
Space group C2/m (No. 12)
Inequivalent atoms, fractional coordinates:
Pm  0.0000  0.0000  0.0000 (multiplicity 2)
Er  0.0000  0.0000  0.5000 (multiplicity 2)
Er  0.0000  0.3302  0.0000 (multiplicity 4)
Er  0.0000  0.3387  0.5000 (multiplicity 4)
Pb  0.0019  0.1696  0.7425 (multiplicity 8)
Pb  0.0112  0.5000  0.2446 (multiplicity 4)

=====

9.
DFT (PBE) results for an optimized crystal structure of AcSbSeO2.

Properties
- Formation energy from raw total energies: -2.062 eV/atom

abc: 5.7033 12.5670 5.5927
angles: 90.00 90.00 90.00
Space group Cmcm (No. 63)
Inequivalent atoms, fractional coordinates:
Ac  0.0000  0.1273  0.2500 (multiplicity 4)
Sb  0.0000  0.4213  0.2500 (multiplicity 4)
Se  0.0000  0.2468  0.7500 (multiplicity 4)
O  0.2299  0.5000  0.0000 (multiplicity 8)

=====

10.
DFT (PBE) results for an optimized crystal structure of Ba2SrSb.

Properties
- Formation energy from raw total energies: -0.476 eV/atom

abc: 5.5781 5.5781 5.4047
angles: 90.00 90.00 90.00
Space group P4/mmm (No. 123)
Inequivalent atoms, fractional coordinates:
Ba  0.0000  0.5000  0.0000 (multiplicity 2)
Sr  0.0000  0.0000  0.5000 (multiplicity 1)
Sb  0.5000  0.5000  0.5000 (multiplicity 1)

=====

11.
DFT (PBE) results for an optimized crystal structure of K2DyH6.

Properties
- Raw total energy: -2.87 eV per atom

abc: 8.7003 8.7003 8.7003
angles: 90.00 90.00 90.00
Space group Fm-3m (No. 225)
Inequivalent atoms, fractional coordinates:
K  0.2500  0.2500  0.2500 (multiplicity 8)
Dy  0.0000  0.0000  0.0000 (multiplicity 4)
H  0.0000  0.0000  0.2457 (multiplicity 24)

=====

12.
DFT (PBE) results for an optimized crystal structure of ZrAgCl.

Properties
- Energy relative to the lowest polymorph listed for this composition: 0.00 eV/f.u.
- Formation energy from raw total energies: -0.618 eV/atom

abc: 3.2603 3.2603 7.3704
angles: 90.00 90.00 120.00
Space group P3m1 (No. 156)
Inequivalent atoms, fractional coordinates:
Zr  0.0000  0.0000  0.0000 (multiplicity 1)
Ag  0.3333  0.6667  0.3126 (multiplicity 1)
Cl  0.6667  0.3333  0.7506 (multiplicity 1)

=====

13.
DFT (PBE) results for an optimized crystal structure of BeTe2Ir.

Properties
- Formation energy from raw total energies: -0.137 eV/atom

abc: 7.5908 3.7492 6.5947
angles: 90.00 102.61 90.00
Space group Cm (No. 8)
Inequivalent atoms, fractional coordinates:
Be  0.0000  0.0000  0.0000 (multiplicity 2)
Te  0.0644  0.5000  0.7383 (multiplicity 2)
Te  0.3221  0.5000  0.2585 (multiplicity 2)
Ir  0.2925  0.0000  0.9616 (multiplicity 2)

=====

14.
DFT (PBE) results for an optimized crystal structure of SiNi4Mo.

Properties
- Formation energy from raw total energies: 0.037 eV/atom

abc: 6.5981 6.5981 6.5981
angles: 90.00 90.00 90.00
Space group F-43m (No. 216)
Inequivalent atoms, fractional coordinates:
Si  0.0000  0.0000  0.0000 (multiplicity 4)
Ni  0.1248  0.1248  0.3752 (multiplicity 16)
Mo  0.2500  0.2500  0.7500 (multiplicity 4)

=====

15.
DFT (PBE) results for an optimized crystal structure of CuC4.

Properties
- DFT formation energy: 1.792 eV per atom
- Energy relative to the lowest polymorph listed for this composition: 2.55 eV/f.u.

abc: 5.0089 5.0089 4.9911
angles: 90.00 90.00 90.00
Space group I4/mmm (No. 139)
Inequivalent atoms, fractional coordinates:
Cu  0.0000  0.0000  0.0000 (multiplicity 2)
C  0.0000  0.3744  0.0000 (multiplicity 8)

=====

16.
DFT (PBE) results for an optimized crystal structure of Ba2Na16Tl.

Properties
- DFT formation energy: 0.004 eV per atom

abc: 12.1142 12.1142 17.4950
angles: 90.00 90.00 120.00
Space group R3m (No. 160, hexagonal axes)
Inequivalent atoms, fractional coordinates:
Ba  0.0000  0.0000  0.0000 (multiplicity 3)
Ba  0.0000  0.0000  0.3260 (multiplicity 3)
Na  0.0000  0.0000  0.7452 (multiplicity 3)
Na  0.9998  0.2882  0.6556 (multiplicity 18)
Na  0.0094  0.5047  0.1569 (multiplicity 9)
Na  0.1693  0.3387  0.1365 (multiplicity 9)
Na  0.1699  0.3397  0.8442 (multiplicity 9)
Tl  0.0000  0.0000  0.5488 (multiplicity 3)

=====

Result set for magnetization: 0.00, 0.00, 0.00, 0.03, 0.00, 1.47, 0.00, 0.00, 0.00, 0.00, 0.12, 0.00, 0.00, 0.28, 0.00, 0.00 μB/atom, one per record in the order listed.